A relaxed TbY4Zn crystal. Source: Alexandria, functional GGA-PBE.

Geometry as CIF:
```
data_TbY4Zn
_chemical_formula_sum 'Tb1 Y4 Zn1'
_cell_length_a 3.5726
_cell_length_b 3.5726
_cell_length_c 13.7833
_cell_angle_alpha 90.00
_cell_angle_beta 90.00
_cell_angle_gamma 90.00
_space_group_name_H-M_alt 'P 4/m m m'
_space_group_IT_number 123
_space_group_name_Hall '-P 4 2'
loop_
_atom_site_label
_atom_site_type_symbol
_atom_site_fract_x
_atom_site_fract_y
_atom_site_fract_z
_atom_site_occupancy
Tb1 Tb 0.0000 0.0000 0.0000 1
Y1 Y 0.0000 0.0000 0.3714 1
Y2 Y 0.5000 0.5000 0.1822 1
Zn1 Zn 0.5000 0.5000 0.5000 1
```

Results
The polymorph energy (0 for the lowest one) comes out at 0 meV/atom.